Run i
Here is a relaxed structure of AlTlRe3 from Alexandria. Energies are from PBE.

abc: 4.921 4.921 4.921
angles: 90.00 90.00 90.00
Space group Pm-3m (No. 221)
Symmetry-distinct sites (fractional):
Al 0.000 0.000 0.000 x1
Tl 0.500 0.500 0.500 x1
Re 0.000 0.500 0.500 x3

Output
- ρ (g/cm³) = 11.010
- total magnetic moment (μB per formula unit) = 3.7

Run ii
Here is a relaxed structure of AlTlRe3 from Alexandria. Energies are from PBE.

abc: 4.528 4.528 4.528
angles: 90.00 90.00 90.00
Space group Pm-3m (No. 221)
Symmetry-distinct sites (fractional):
Al 0.000 0.000 0.000 x1
Tl 0.500 0.500 0.500 x1
Re 0.000 0.000 0.500 x3

Output
- ρ (g/cm³) = 14.129
- total magnetic moment (μB per formula unit) = 0.0

Which of them is the most stable, and which is the least stable? run ii and run i, in that order.